Crystalline RbTm2CuS4 at its relaxed geometry. Source: OQMD, functional PBE.

## Properties
The calculation puts the uncorrected energy at -86.55 eV per cell.

Unit cell a=7.0800 b=7.0800 c=13.6528 alpha=90.00 beta=90.00 gamma=147.72
Atoms (fractional coordinates):
Cu 0.8355 0.1645 0.2500
Cu 0.1645 0.8355 0.7500
Rb 0.1083 0.8917 0.2500
Rb 0.8917 0.1083 0.7500
S 0.0000 0.0000 0.0000
S 0.7408 0.2592 0.1068
S 0.4258 0.5742 0.2500
S 0.7408 0.2592 0.3932
S 0.0000 0.0000 0.5000
S 0.2592 0.7408 0.6068
S 0.5742 0.4258 0.7500
S 0.2592 0.7408 0.8932
Tm 0.3661 0.6339 0.0624
Tm 0.3661 0.6339 0.4376
Tm 0.6339 0.3661 0.5624
Tm 0.6339 0.3661 0.9376

---

Crystalline AcGdGa at its relaxed geometry. Source: OQMD, functional PBE.

## Properties
The calculation puts the uncorrected energy at -12.34 eV per cell. The value obtained for the energy above the most stable polymorph in this dataset is 0.00 kcal/mol of atoms.

Unit cell a=5.2193 b=5.2193 c=5.2193 alpha=60.00 beta=60.00 gamma=60.00
Each line ends with the local moment (μB).
Atoms (fractional coordinates):
Ac 0.2500 0.2500 0.2500  0.09
Ga 0.0000 0.0000 0.0000  0.00
Gd 0.7500 0.7500 0.7500  0.20

---

Crystalline NbNiAg2 at its relaxed geometry. Source: OQMD, functional PBE.

## Properties
For the formation energy, the calculation gives 1.1 eV/f.u. The calculation puts the uncorrected energy at -20.18 eV per cell.

Unit cell a=4.4778 b=4.4778 c=4.4778 alpha=60.00 beta=60.00 gamma=60.00
Atoms (fractional coordinates):
Ag 0.0000 0.0000 0.0000
Ag 0.2500 0.2500 0.2500
Nb 0.5000 0.5000 0.5000
Ni 0.7500 0.7500 0.7500

---

Quick rundown of ρ, same order as above: 5.589 7.498 9.608 Mg/m³